Record 1
## CdAs2Br (PBE)

Data for a relaxed CdAs2Br crystal.

Lattice parameters (Å, degrees): 3.7387 3.7387 8.1376 90.00 90.00 90.00
Element x y z (fractional)
Cd (0.0000, 0.0000, 0.0000)
As (0.0000, 0.0000, 0.3250)
As (0.5000, 0.5000, 0.3114)
Br (0.5000, 0.5000, 0.8333)

Properties
space group	No. 99
energy above the lowest structure with this stoichiometry	123	meV/atom
formation energy without anion corrections	-0.051	eV per atom
total energy	-12.09	eV/cell

---

Record 2
## CdAsBr (PBE)

Data for a relaxed CdAsBr crystal.

Lattice parameters (Å, degrees): 7.4725 7.4725 7.4725 154.17 154.17 36.85
Element x y z (fractional)
Cd (0.0000, 0.0000, 0.0000)
As (0.6331, 0.6331, 0.0000)
Br (0.3725, 0.3725, 0.0000)

Properties
space group	No. 107
energy above the lowest structure with this stoichiometry	565	meV/atom
formation energy without anion corrections	0.126	eV per atom
total energy	-6.86	eV/cell

---

Record 3
## CdAs4Br (PBE)

Data for a relaxed CdAs4Br crystal.

Lattice parameters (Å, degrees): 6.1319 6.1319 6.1319 60.00 60.00 60.00
Element x y z (fractional)
Cd (0.0000, 0.0000, 0.0000)
As (0.1958, 0.6014, 0.6014)
As (0.6014, 0.1958, 0.6014)
As (0.6014, 0.6014, 0.1958)
As (0.6014, 0.6014, 0.6014)
Br (0.2500, 0.2500, 0.2500)

Properties
space group	No. 216
formation energy without anion corrections	0.155	eV per atom
total energy	-20.25	eV/cell

---

Record 4
## Cd2AsBr (PBE)

Data for a relaxed Cd2AsBr crystal.

Lattice parameters (Å, degrees): 6.8926 6.8926 5.0550 106.64 106.64 25.86
Element x y z (fractional)
Cd (0.2036, 0.2036, 0.2201)
Cd (0.7964, 0.7964, 0.7799)
As (0.5000, 0.5000, 0.0000)
Br (0.0000, 0.0000, 0.5000)

Properties
space group	No. 12
energy above the lowest structure with this stoichiometry	553	meV/atom
formation energy without anion corrections	0.167	eV per atom
total energy	-7.49	eV/cell

---

Record 5
## Cd2AsBr (PBE)

Data for a relaxed Cd2AsBr crystal.

Lattice parameters (Å, degrees): 5.7127 5.7127 3.3486 104.43 104.43 88.34
Element x y z (fractional)
Cd (0.0000, 0.5000, 0.0000)
Cd (0.5000, 0.0000, 0.0000)
As (0.0000, 0.0000, 0.0000)
Br (0.5000, 0.5000, 0.0000)

Properties
space group	No. 12
energy above the lowest structure with this stoichiometry	293	meV/atom
formation energy without anion corrections	-0.093	eV per atom
total energy	-8.53	eV/cell

---

Record 6
## Cd2AsBr (PBE)

Data for a relaxed Cd2AsBr crystal.

Lattice parameters (Å, degrees): 3.7491 3.7491 7.8638 90.00 90.00 111.44
Element x y z (fractional)
Cd (0.0000, 0.0000, 0.2239)
Cd (0.0000, 0.0000, 0.7761)
As (0.5000, 0.5000, 0.0000)
Br (0.5000, 0.5000, 0.5000)

Properties
space group	No. 65
energy above the lowest structure with this stoichiometry	323	meV/atom
formation energy without anion corrections	-0.063	eV per atom
total energy	-8.41	eV/cell

---

Q: Look up the total energy of the fifth one.
A: -8.53 eV/cell